Entry 1:
DFT (PBE-GGA) results for crystalline Rb3RuF6 at its relaxed geometry.

Cell lengths 10.3787, 12.9244, 6.5386 Å; angles 90.00, 90.00, 90.00 degrees
Last column: nearest neighbours and their distance in Å.
Space group Cmc2_1 (No. 36)
Symmetry-distinct sites (fractional):
Rb 0.0000 0.0868 0.0000 [4 per cell]  5 F 2.67-2.97
Rb 0.2265 0.3664 0.0809 [8 per cell]  5 F 2.62-2.90
Ru 0.0000 0.3983 0.6113 [4 per cell]  4 F 1.93-2.06
F 0.0000 0.3046 0.8565 [4 per cell]  1 Ru 2.01
F 0.0000 0.4825 0.3202 [4 per cell]  2 Ru 2.06-2.19
F 0.1290 0.3129 0.4829 [8 per cell]  1 Ru 1.93
F 0.1780 0.0293 0.2723 [8 per cell]  4 Rb 2.62-2.81

Calculated values
energy relative to the elements, uncorrected	-204	kJ per mole of atoms
density of states at the Fermi level	0.139	states/eV/atom
V	877	Å³/cell
M_tot	3.96	μB/cell

Entry 2:
DFT (PBE-GGA) results for crystalline Rb4RuF10 at its relaxed geometry.

Cell lengths 9.7998, 9.7998, 6.2316 Å; angles 90.00, 90.00, 90.00 degrees
Last column: nearest neighbours and their distance in Å.
Space group I4/m (No. 87)
Symmetry-distinct sites (fractional):
Rb 0.1011 0.2988 0.0000 [8 per cell]  6 F 2.70-2.97
Ru 0.0000 0.0000 0.5000 [2 per cell]  8 F 2.01
F 0.0000 0.5000 0.2500 [4 per cell]  4 Rb 2.70
F 0.0802 0.8526 0.3135 [16 per cell]  1 Ru 2.01

Calculated values
energy relative to the elements, uncorrected	-206	kJ per mole of atoms
density of states at the Fermi level	0.351	states/eV/atom
V	598	Å³/cell
M_tot	4.02	μB/cell

Entry 3:
DFT (PBE-GGA) results for crystalline RbRuF6 at its relaxed geometry.

Cell lengths 5.6554, 5.6554, 15.6963 Å; angles 90.00, 90.00, 120.00 degrees
Last column: nearest neighbours and their distance in Å.
Space group R-3m (No. 166, hexagonal axes)
Symmetry-distinct sites (fractional):
Rb 0.0000 0.0000 0.0000 [3 per cell]  12 F 3.21
Ru 0.0000 0.0000 0.5000 [3 per cell]  6 F 1.90
F 0.0185 0.5092 0.0960 [18 per cell]  1 Ru 1.90

Calculated values
relative energy among the computed polymorphs	19	meV/atom
energy relative to the elements, uncorrected	-204	kJ per mole of atoms
V	435	Å³/cell
M_tot	9.00	μB/cell

Entry 4:
DFT (PBE-GGA) results for crystalline Rb2RuF6 at its relaxed geometry.

Cell lengths 6.2973, 6.9616, 10.3679 Å; angles 90.00, 122.89, 90.00 degrees
Last column: nearest neighbours and their distance in Å.
Space group P2_1/c (No. 14)
Symmetry-distinct sites (fractional):
Rb 0.2231 0.0686 0.2562 [4 per cell]  8 F 2.86-3.15
Ru 0.5000 0.0000 0.0000 [2 per cell]  6 F 1.95-1.97
F 0.2074 0.1461 0.9691 [4 per cell]  1 Ru 1.97
F 0.3089 0.7400 0.4512 [4 per cell]  1 Ru 1.96
F 0.3734 0.0339 0.7834 [4 per cell]  1 Ru 1.95

Calculated values
energy relative to the elements, uncorrected	-224	kJ per mole of atoms
density of states at the Fermi level	0.954	states/eV/atom
V	382	Å³/cell
M_tot	4.00	μB/cell